A plane-wave DFT calculation with PBE was carried out for PmY14Ho after structural relaxation.

Unit cell a=7.1507 b=7.1507 c=10.0816 alpha=90.00 beta=90.00 gamma=90.00
Last column: nearest neighbours and their distance in Å.
Sites, in units of the cell vectors:
Pm 0.0000 0.0000 0.0000  12 Y 3.57-3.58
Y 0.0000 0.0000 0.5000  12 Y 3.58
Y 0.0000 0.5000 0.0000  8 Y 3.57, 2 Ho 3.58, 2 Pm 3.58
Y 0.0000 0.5000 0.5000  12 Y 3.57-3.58
Y 0.2507 0.2507 0.2498  1 Ho 3.56, 10 Y 3.57-3.59, 1 Pm 3.57
Y 0.2507 0.2507 0.7502  1 Ho 3.56, 10 Y 3.57-3.59, 1 Pm 3.57
Y 0.2507 0.7493 0.2498  1 Ho 3.56, 10 Y 3.57-3.59, 1 Pm 3.57
Y 0.2507 0.7493 0.7502  1 Ho 3.56, 10 Y 3.57-3.59, 1 Pm 3.57
Y 0.5000 0.0000 0.0000  8 Y 3.57, 2 Ho 3.58, 2 Pm 3.58
Y 0.5000 0.0000 0.5000  12 Y 3.57-3.58
Y 0.5000 0.5000 0.5000  12 Y 3.57-3.58
Y 0.7493 0.2507 0.2498  1 Ho 3.56, 10 Y 3.57-3.59, 1 Pm 3.57
Y 0.7493 0.2507 0.7502  1 Ho 3.56, 10 Y 3.57-3.59, 1 Pm 3.57
Y 0.7493 0.7493 0.2498  1 Ho 3.56, 10 Y 3.57-3.59, 1 Pm 3.57
Y 0.7493 0.7493 0.7502  1 Ho 3.56, 10 Y 3.57-3.59, 1 Pm 3.57
Ho 0.5000 0.5000 0.0000  12 Y 3.56-3.58

Properties
Final energy (eV per atom): -6.218
Symmetry: P4/mmm

A plane-wave DFT calculation with PBE was carried out for Pm2Y3Ho7 after structural relaxation.

Unit cell a=6.1245 b=5.4775 c=12.2180 alpha=90.00 beta=91.62 gamma=90.00
Last column: nearest neighbours and their distance in Å.
Sites, in units of the cell vectors:
Pm 0.0909 0.0000 0.2799  6 Ho 3.10-3.40, 1 Y 3.45
Pm 0.9091 0.0000 0.7201  6 Ho 3.10-3.40, 1 Y 3.45
Y 0.0000 0.0000 0.0000  6 Ho 3.35-3.51, 2 Pm 3.45
Y 0.4472 0.5000 0.3422  8 Ho 3.52-3.87, 2 Pm 3.57, 1 Y 3.89
Y 0.5528 0.5000 0.6578  8 Ho 3.52-3.87, 2 Pm 3.57, 1 Y 3.89
Ho 0.0633 0.5000 0.8241  2 Pm 3.15, 3 Ho 3.38-3.51, 2 Y 3.51
Ho 0.2659 0.0000 0.5446  2 Ho 3.10-3.41, 2 Pm 3.10-3.38
Ho 0.4229 0.0000 0.8320  2 Pm 3.31-3.40, 3 Y 3.35-3.57, 5 Ho 3.45-3.61
Ho 0.5000 0.5000 0.0000  6 Ho 3.38-3.45
Ho 0.5771 0.0000 0.1680  2 Pm 3.31-3.40, 3 Y 3.35-3.57, 5 Ho 3.45-3.61
Ho 0.7341 0.0000 0.4554  2 Ho 3.10-3.41, 2 Pm 3.10-3.38
Ho 0.9367 0.5000 0.1759  2 Pm 3.15, 3 Ho 3.38-3.51, 2 Y 3.51

Properties
Final energy (eV per atom): -4.764
Symmetry: P2/m

In order of appearance, density = 5.008 6.935 g cm⁻³.
In order of appearance, energy of formation from the pure elements = 20.9 314.6 meV per atom.